DFT (PBE) results for a relaxed structure of YThFeTc.

a = 4.911 Å, b = 4.911 Å, c = 4.911 Å
α = 60.00°, β = 60.00°, γ = 60.00°
Site moments in Bohr magnetons follow the coordinates.
Element x y z (fractional)
Tc1 0.000 0.000 0.000  0.27
Fe1 0.500 0.500 0.500  1.99
Y1 0.250 0.250 0.250  -0.13
Th1 0.750 0.750 0.750  -0.18

M_tot: 1.80 μB/f.u.
N(E_F): 6.2 states/eV/cell

---

DFT (PBE) results for a relaxed structure of Ti4Fe3Tc.

a = 2.997 Å, b = 2.997 Å, c = 11.982 Å
α = 90.00°, β = 90.00°, γ = 90.00°
Element x y z (fractional)
Fe1 0.500 0.500 0.743
Fe2 0.500 0.500 0.257
Fe3 0.500 0.500 0.500
Ti1 0.000 0.000 0.623
Ti2 0.000 0.000 0.377
Ti3 0.000 0.000 0.131
Ti4 0.000 0.000 0.869
Tc1 0.500 0.500 0.000

M_tot: 0.00 μB/f.u.
N(E_F): 2.7 states/eV/cell

---

DFT (PBE) results for a relaxed structure of TiFe2Tc.

a = 2.821 Å, b = 2.821 Å, c = 6.354 Å
α = 90.00°, β = 90.00°, γ = 90.00°
Site moments in Bohr magnetons follow the coordinates.
Element x y z (fractional)
Fe1 0.000 0.000 0.764  0.06
Fe2 0.000 0.000 0.236  0.06
Ti1 0.500 0.500 0.000  -0.02
Tc1 0.500 0.500 0.500  0.00

M_tot: 0.09 μB/f.u.
N(E_F): 4.2 states/eV/cell

---

DFT (PBE) results for a relaxed structure of TiFe2Tc2.

a = 7.091 Å, b = 7.091 Å, c = 2.676 Å
α = 90.00°, β = 90.00°, γ = 90.00°
Element x y z (fractional)
Tc1 0.673 0.827 0.500
Tc2 0.827 0.327 0.500
Tc3 0.327 0.173 0.500
Tc4 0.173 0.673 0.500
Fe1 0.877 0.623 0.000
Fe2 0.623 0.123 0.000
Fe3 0.123 0.377 0.000
Fe4 0.377 0.877 0.000
Ti1 0.500 0.500 0.000
Ti2 0.000 0.000 0.000

M_tot: 0.00 μB/f.u.
N(E_F): 9.0 states/eV/cell

---

DFT (PBE) results for a relaxed structure of Ti2FeTc.

a = 3.035 Å, b = 3.035 Å, c = 6.083 Å
α = 90.00°, β = 90.00°, γ = 90.00°
Element x y z (fractional)
Ti1 0.000 0.000 0.758
Ti2 0.000 0.000 0.242
Fe1 0.500 0.500 0.000
Tc1 0.500 0.500 0.500

M_tot: 0.00 μB/f.u.
N(E_F): 3.8 states/eV/cell

---

DFT (PBE) results for a relaxed structure of TiFe2Tc.

a = 6.720 Å, b = 6.720 Å, c = 5.378 Å
α = 51.33°, β = 51.33°, γ = 90.00°
Site moments in Bohr magnetons follow the coordinates.
Element x y z (fractional)
Fe1 0.875 0.884 0.750  2.03
Fe2 0.634 0.125 0.250  2.05
Fe3 0.116 0.625 0.250  2.04
Fe4 0.375 0.366 0.750  2.04
Ti1 0.500 0.500 0.000  -0.32
Ti2 0.250 0.750 0.500  -0.32
Tc1 0.000 0.000 0.000  0.23
Tc2 0.750 0.250 0.500  0.23

M_tot: 4.04 μB/f.u.
N(E_F): 10.3 states/eV/cell

---

DFT (PBE) results for a relaxed structure of Ti4FeTc5.

a = 3.092 Å, b = 3.092 Å, c = 15.313 Å
α = 90.00°, β = 90.00°, γ = 90.00°
Site moments in Bohr magnetons follow the coordinates.
Element x y z (fractional)
Tc1 0.500 0.500 0.908  0.00
Tc2 0.500 0.500 0.092  0.00
Tc3 0.500 0.500 0.500  0.00
Tc4 0.500 0.500 0.705  -0.04
Tc5 0.500 0.500 0.295  -0.04
Ti1 0.000 0.000 0.196  -0.02
Ti2 0.000 0.000 0.398  -0.01
Ti3 0.000 0.000 0.804  -0.02
Ti4 0.000 0.000 0.602  -0.01
Fe1 0.000 0.000 0.000  2.29

M_tot: 2.10 μB/f.u.
N(E_F): 8.7 states/eV/cell

---

DFT (PBE) results for a relaxed structure of TiFe2Tc.

a = 4.207 Å, b = 4.207 Å, c = 4.207 Å
α = 60.00°, β = 60.00°, γ = 60.00°
Site moments in Bohr magnetons follow the coordinates.
Element x y z (fractional)
Fe1 0.750 0.750 0.750  1.68
Fe2 0.250 0.250 0.250  1.68
Ti1 0.000 0.000 0.000  -0.48
Tc1 0.500 0.500 0.500  0.30

M_tot: 3.07 μB/f.u.
N(E_F): 5.6 states/eV/cell

---

DFT (PBE) results for a relaxed structure of Ti6FeTc5.

a = 4.366 Å, b = 6.164 Å, c = 7.559 Å
α = 114.06°, β = 106.78°, γ = 90.00°
Element x y z (fractional)
Ti1 0.835 0.587 0.670
Ti2 0.165 0.413 0.330
Ti3 0.500 0.247 0.000
Ti4 0.835 0.083 0.670
Ti5 0.165 0.917 0.330
Ti6 0.500 0.753 0.000
Fe1 0.000 0.000 0.000
Tc1 0.000 0.500 0.000
Tc2 0.667 0.667 0.333
Tc3 0.665 0.165 0.331
Tc4 0.335 0.835 0.669
Tc5 0.333 0.333 0.667

M_tot: 0.00 μB/f.u.
N(E_F): 11.2 states/eV/cell

---

DFT (PBE) results for a relaxed structure of Ti3Fe2Tc.

a = 3.012 Å, b = 3.012 Å, c = 9.017 Å
α = 90.00°, β = 90.00°, γ = 90.00°
Element x y z (fractional)
Ti1 0.000 0.000 0.673
Ti2 0.000 0.000 0.327
Ti3 0.000 0.000 0.000
Fe1 0.500 0.500 0.839
Fe2 0.500 0.500 0.161
Tc1 0.500 0.500 0.500

M_tot: 0.00 μB/f.u.
N(E_F): 3.2 states/eV/cell

---

DFT (PBE) results for a relaxed structure of Ti4FeTc.

a = 4.424 Å, b = 4.423 Å, c = 6.624 Å
α = 70.49°, β = 70.49°, γ = 59.99°
Element x y z (fractional)
Ti1 0.120 0.120 0.640
Ti2 0.370 0.370 0.891
Ti3 0.630 0.630 0.109
Ti4 0.880 0.880 0.360
Tc1 0.500 0.500 0.500
Fe1 0.000 0.000 0.000

M_tot: 0.00 μB/f.u.
N(E_F): 6.8 states/eV/cell

---

DFT (PBE) results for a relaxed structure of TiFe2Tc.

a = 3.011 Å, b = 4.197 Å, c = 4.197 Å
α = 90.00°, β = 90.00°, γ = 90.00°
Site moments in Bohr magnetons follow the coordinates.
Element x y z (fractional)
Fe1 0.000 0.000 0.500  1.98
Fe2 0.000 0.500 0.000  1.98
Ti1 0.500 0.000 0.000  -0.65
Tc1 0.500 0.500 0.500  0.45

M_tot: 3.63 μB/f.u.
N(E_F): 4.7 states/eV/cell

---

Uncorrected energy
In order: -8.12, -8.84, -8.84, -9.10, -9.09, -8.43, -9.54, -8.89, -9.44, -8.92, -8.33, -8.91
Unit: eV/atom